A relaxed Nd5Hg2Ge2 crystal. Source: Alexandria via LeMat-Bulk, functional PBE-GGA.

Geometry as POSCAR:
```
Nd5Hg2Ge2
1.0
-5.495 -0.383 5.687
-5.112 -3.261 -5.160
-0.096 -7.610 4.906
Ge Hg Nd
4 4 10
direct
0.621 0.124 0.000
0.121 0.376 0.000
0.879 0.624 0.000
0.379 0.876 0.000
0.785 0.000 0.430
0.215 0.000 0.570
0.715 0.500 0.570
0.285 0.500 0.430
0.053 0.675 0.258
0.189 0.175 0.258
0.000 0.000 0.000
0.947 0.325 0.742
0.500 0.500 0.000
0.811 0.825 0.742
0.553 0.825 0.258
0.311 0.675 0.742
0.689 0.325 0.258
0.447 0.175 0.742
```

## Properties
* crystal system: orthorhombic
* space group: Cmce, No. 64
* DFT formation energy: -608.0 meV per atom
* calculated volume: 513.4 Å³/cell